The following is a GGA-PBE calculation of crystalline YZnRe2 at its relaxed geometry, from Alexandria via LeMat-Bulk.

a = 2.835 Å, b = 2.835 Å, c = 9.304 Å
α = 90.00°, β = 90.00°, γ = 110.33°
Sites, in units of the cell vectors:
Zn  0.500  0.500  0.773
Re  0.500  0.500  0.227
Re  0.000  0.000  0.008
Y  0.000  0.000  0.492

Computed properties:
Calculated formation energy, kJ/mol of atoms: 37.7
Energy, eV/cell: -31.1
Volume, Å³/f.u.: 70.10
Fermi-level density of states, states/eV per cell: 3.0
Total magnetic moment, μB/f.u.: 0.000

The following is a GGA-PBE calculation of crystalline Ca2Hg2Bi at its relaxed geometry, from Alexandria via LeMat-Bulk.

a = 8.202 Å, b = 8.202 Å, c = 6.400 Å
α = 43.69°, β = 43.69°, γ = 33.36°
Sites, in units of the cell vectors:
Hg  0.606  0.606  0.466
Hg  0.394  0.394  0.534
Ca  0.697  0.697  0.822
Ca  0.303  0.303  0.178
Bi  0.000  0.000  0.000

Computed properties:
Excess energy over the best structure of this formula in the dataset, meV per atom: 25
Calculated formation energy, kJ/mol of atoms: -48.0
Energy, eV/cell: -11.0
Volume, Å³/f.u.: 155.28
Fermi-level density of states, states/eV per cell: 3.3
Total magnetic moment, μB/f.u.: 0.000

The following is a GGA-PBE calculation of crystalline MnZn3Hg at its relaxed geometry, from Alexandria via LeMat-Bulk.

a = 4.859 Å, b = 4.859 Å, c = 4.859 Å
α = 90.00°, β = 90.00°, γ = 90.00°
Sites, in units of the cell vectors:
Zn  0.500  0.000  0.000
Zn  0.000  0.000  0.500
Zn  0.000  0.500  0.000
Mn  0.000  0.000  0.000
Hg  0.500  0.500  0.500

Computed properties:
Excess energy over the best structure of this formula in the dataset, meV per atom: 0
Calculated formation energy, kJ/mol of atoms: 53.0
Energy, eV/cell: -10.5
Volume, Å³/f.u.: 114.75
Fermi-level density of states, states/eV per cell: 5.0
Total magnetic moment, μB/f.u.: 3.371